Record 1
Compound: Na2Al2Si
Source: Alexandria via LeMat-Bulk
Functional: PBE
Structure: optimized geometry

Geometry as extended XYZ:
```
10
Lattice="8.942 0.000 0.000 0.000 8.942 0.000 0.000 0.000 2.839" Properties=species:S:1:pos:R:3 pbc="T T T"
Na 1.045 3.426 0.000
Na 3.426 7.897 0.000
Na 5.516 1.045 0.000
Na 7.897 5.516 0.000
Al 1.632 6.103 1.420
Al 2.838 1.632 1.420
Al 6.103 7.309 1.420
Al 7.309 2.838 1.420
Si 0.000 0.000 0.000
Si 4.471 4.471 0.000
```

* magnetic moment: 0.000 μB/atom
* energy above the lowest structure with this stoichiometry: 464 meV/atom
* formation energy (no corrections): 3.013 eV per formula unit

=====

Record 2
Compound: Ca2UTiN4
Source: Alexandria via LeMat-Bulk
Functional: PBE
Structure: optimized geometry

Geometry as extended XYZ:
```
8
Lattice="5.661 0.000 0.000 0.000 3.376 0.000 -1.801 0.000 5.588" Properties=species:S:1:pos:R:3 pbc="T T T"
Ca 0.000 0.000 0.000
Ca 2.831 1.688 0.000
U -0.901 1.688 2.794
Ti 1.930 0.000 2.794
N 0.127 0.000 3.971
N 0.959 1.688 1.637
N 2.901 1.688 3.952
N 3.734 0.000 1.617
```

* magnetic moment: 0.115 μB/atom
* formation energy (no corrections): -10.643 eV per formula unit

=====

Record 3
Compound: LaSn3Te
Source: Alexandria via LeMat-Bulk
Functional: PBE
Structure: optimized geometry

Geometry as extended XYZ:
```
5
Lattice="6.036 0.000 0.000 0.000 6.036 0.000 0.000 0.000 6.036" Properties=species:S:1:pos:R:3 pbc="T T T"
La 0.000 0.000 0.000
Sn 0.000 0.000 3.018
Sn 0.000 3.018 0.000
Sn 3.018 0.000 0.000
Te 3.018 3.018 3.018
```

* magnetic moment: 0.000 μB/atom
* energy above the lowest structure with this stoichiometry: 433 meV/atom
* formation energy (no corrections): 3.646 eV per formula unit

=====

Record 4
Compound: LaNiHg2I
Source: Alexandria via LeMat-Bulk
Functional: PBE
Structure: optimized geometry

Geometry as extended XYZ:
```
5
Lattice="5.142 0.000 0.000 0.000 5.142 0.000 0.000 0.000 5.186" Properties=species:S:1:pos:R:3 pbc="T T T"
La 0.000 0.000 0.000
Ni 0.000 0.000 2.593
Hg 0.000 2.571 2.593
Hg 2.571 0.000 2.593
I 2.571 2.571 0.000
```

* magnetic moment: 0.000 μB/atom
* formation energy (no corrections): -2.593 eV per formula unit